Entry from the Alexandria database: a relaxed structure of CeNdDyTh (PBE).

Values from the calculation:
- calculated formation energy (eV/atom) = 0.227
- raw total energy (eV/atom) = -5.454

abc: 8.0334 8.0334 8.0334
angles: 90.00 90.00 90.00
Closest atoms and distances in Å follow each position.
Space group F-43m (No. 216)
One atom of each set of equivalent atoms:
Ce 0.0000 0.0000 0.0000 [4 per cell]  4 Nd 3.48, 4 Th 3.48
Nd 0.2500 0.2500 0.7500 [4 per cell]  4 Dy 3.48, 4 Ce 3.48
Dy 0.0000 0.0000 0.5000 [4 per cell]  4 Th 3.48, 4 Nd 3.48
Th 0.2500 0.2500 0.2500 [4 per cell]  4 Dy 3.48, 4 Ce 3.48